(1)
Here is VSbS after structural relaxation from the Alexandria database. Energies are from GGA-PBE.

Summary:
M_tot: 0.996 μB/cell
E_form (uncorrected): -0.19 eV/atom
E: -71.8 eV/cell
energy above the lowest structure with this stoichiometry: 0.267 eV/atom

Geometry as extended XYZ:
```
12
Lattice="4.364 0.000 0.000 0.000 6.209 0.000 0.000 0.000 8.139" Properties=species:S:1:pos:R:3 pbc="T T T"
S 1.091 5.482 2.664
S 1.091 3.832 6.734
S 3.273 0.728 5.474
S 3.273 2.377 1.405
V 3.273 0.181 3.179
V 3.273 2.923 7.248
V 1.091 3.286 0.891
V 1.091 6.028 4.960
Sb 3.273 3.961 4.636
Sb 1.091 0.857 7.572
Sb 1.091 2.248 3.503
Sb 3.273 5.353 0.567
```

(2)
Here is VSbS2 after structural relaxation from the Alexandria database. Energies are from GGA-PBE.

Summary:
M_tot: 0.017 μB/cell
E_form (uncorrected): -0.59 eV/atom
E: -47.7 eV/cell

Geometry as extended XYZ:
```
8
Lattice="-1.697 -0.789 2.694 4.939 -1.678 2.622 1.060 7.077 4.750" Properties=species:S:1:pos:R:3 pbc="T T T"
S 4.544 1.345 6.000
S 1.215 1.785 6.052
S 4.226 -0.611 3.230
S 0.897 -0.171 3.283
Sb 5.040 3.964 6.792
Sb 1.463 4.287 7.240
V 1.099 1.821 1.983
V 2.720 0.587 4.642
```

(3)
Here is VSb3S after structural relaxation from the Alexandria database. Energies are from GGA-PBE.

Summary:
M_tot: 3.558 μB/cell
E_form (uncorrected): 0.80 eV/atom
E: -21.6 eV/cell
energy above the lowest structure with this stoichiometry: 0.487 eV/atom

Geometry as extended XYZ:
```
5
Lattice="5.154 0.000 0.000 0.000 5.154 0.000 0.000 0.000 5.154" Properties=species:S:1:pos:R:3 pbc="T T T"
Sb 0.000 0.000 2.577
Sb 0.000 2.577 0.000
Sb 2.577 0.000 0.000
V 2.577 2.577 2.577
S 0.000 0.000 0.000
```

(4)
Here is V5Sb3S12 after structural relaxation from the Alexandria database. Energies are from GGA-PBE.

Summary:
M_tot: 40.092 μB/cell
E_form (uncorrected): -0.50 eV/atom
E: -470.3 eV/cell

Geometry as extended XYZ:
```
80
Lattice="-11.464 4.400 4.288 -0.792 -2.458 -12.748 3.095 -10.928 6.339" Properties=species:S:1:pos:R:3 pbc="T T T"
S -11.087 0.877 -2.302
S -3.126 -5.503 0.604
S -8.826 -2.045 2.990
S -9.239 -1.876 -6.310
S -6.109 -4.009 -6.134
S -3.030 -5.115 -6.112
S -5.815 0.474 0.435
S -8.720 -6.679 -1.497
S -2.633 -9.433 -5.750
S 0.901 -10.097 5.705
S -6.132 -3.871 3.991
S -3.491 -8.351 3.874
S 0.078 -7.110 4.188
S 1.385 -9.107 -3.364
S -6.528 0.447 3.628
S -0.335 -6.941 -5.112
S -10.062 1.111 -7.826
S -8.682 -2.999 6.657
S -3.052 -4.977 4.013
S -1.454 -3.175 -10.521
S -0.479 -5.987 -8.778
S -8.334 -1.785 -0.235
S -5.670 -0.635 -5.996
S -3.649 -1.811 3.439
S -1.439 -1.544 -4.201
S -6.035 -3.483 -2.726
S -1.076 -11.495 -3.742
S -10.546 0.121 1.242
S -2.863 -4.285 -2.768
S -4.394 -0.219 -3.012
S -6.298 -4.701 0.647
S 0.220 -5.190 1.152
S -7.722 -7.442 2.080
S -0.827 -7.201 -1.887
S -2.623 -1.656 -7.250
S -9.381 -3.796 -3.273
S -7.707 -5.811 8.400
S -7.980 -0.273 -3.265
S -5.123 -6.578 -2.185
S -1.181 -8.713 1.143
S -6.538 -7.330 5.128
S -4.038 -2.408 0.064
S -8.086 2.509 1.620
S -4.767 -8.767 0.890
S -3.347 -9.460 -2.556
S -5.512 -7.175 -5.561
S 1.925 -9.863 0.180
S -0.441 -2.307 -0.624
V -5.051 -8.656 -1.335
V -2.077 -6.853 4.768
V -5.989 -6.569 7.169
V -5.732 2.200 2.144
V -0.956 -3.104 -2.660
V -6.128 0.971 -4.230
V -0.866 -5.392 -6.648
V -7.085 -2.133 -6.890
V -7.933 -2.334 -2.375
V -8.295 -3.594 4.526
V 1.152 -6.693 -3.205
V 0.000 0.000 0.000
V -3.172 -2.417 -9.290
V -8.205 -5.882 0.538
V 1.548 -5.464 3.169
V -0.396 -1.229 -6.374
V -4.110 -0.331 -0.787
V -4.184 -3.264 5.313
V -1.229 -6.652 0.253
V -4.581 -4.493 -1.061
Sb -8.508 1.012 -0.772
Sb -9.357 0.811 3.743
Sb -1.804 -3.305 1.855
Sb -0.653 -9.998 -1.349
Sb -7.357 -5.681 -3.977
Sb -10.239 0.640 -5.017
Sb 0.195 -9.797 -5.864
Sb -6.203 -1.962 1.870
Sb -4.020 -2.618 -4.775
Sb -5.141 -6.368 2.653
Sb 1.077 -9.626 2.895
Sb -2.959 -7.024 -3.991
```

(5)
Here is VSbS2 after structural relaxation from the Alexandria database. Energies are from GGA-PBE.

Summary:
M_tot: 3.616 μB/cell
E_form (uncorrected): 0.21 eV/atom
E: -20.6 eV/cell

Geometry as extended XYZ:
```
4
Lattice="2.257 0.000 7.763 -1.129 1.955 7.763 -1.129 -1.955 7.763" Properties=species:S:1:pos:R:3 pbc="T T T"
V 0.000 0.000 0.000
S 0.000 0.000 20.965
S 0.000 0.000 2.323
Sb 0.000 0.000 11.644
```

(6)
Here is VSbS after structural relaxation from the Alexandria database. Energies are from GGA-PBE.

Summary:
M_tot: 1.798 μB/cell
E_form (uncorrected): -0.33 eV/atom
E: -36.7 eV/cell
energy above the lowest structure with this stoichiometry: 0.131 eV/atom

Geometry as extended XYZ:
```
6
Lattice="4.334 0.000 0.000 0.000 4.670 -0.206 0.000 -1.236 5.639" Properties=species:S:1:pos:R:3 pbc="T T T"
V 1.084 1.027 3.396
V 3.251 2.408 2.037
Sb 3.251 2.303 5.185
Sb 1.084 1.131 0.248
S 3.251 0.244 2.961
S 1.084 3.191 2.472
```

Among the records above, which one has the lowest M_tot? number 2

Among the records above, which one has the highest M_tot? V5Sb3S12